Ce2PdBr8: relaxed, PBE.

Results
* energy relative to the elements, uncorrected: -1271 meV/atom
* spin magnetization: 2.07 μB/f.u.
* relative energy among the computed polymorphs: 0.857 eV/f.u.
* calculated volume: 933 Å³/cell
* calculated total energy: -4.04 eV/atom

Cell lengths 15.203, 10.539, 5.836 Å; angles 90.00, 94.19, 90.00 degrees
Space group C2/m (No. 12)
Unique sites:
Ce 0.219 0.000 0.233 (multiplicity 4)
Pd 0.000 0.000 0.000 (multiplicity 2)
Br 0.089 0.185 0.200 (multiplicity 8)
Br 0.103 0.500 0.736 (multiplicity 4)
Br 0.221 0.000 0.730 (multiplicity 4)

Th4U: relaxed, PBE.

Results
* spin magnetization: 3.04 μB/f.u.
* calculated volume: 175 Å³/cell
* calculated formation energy: 0.81 eV/atom
* calculated total energy: -7.38 eV/atom

Cell lengths 5.596, 5.596, 5.596 Å; angles 90.00, 90.00, 90.00 degrees
Space group Pm-3m (No. 221)
Unique sites:
Th 0.000 0.000 0.000 (multiplicity 1)
Th 0.000 0.500 0.500 (multiplicity 3)
U 0.500 0.500 0.500 (multiplicity 1)

Sc2TaIr: relaxed, PBE.

Results
* spin magnetization: 0.00 μB/f.u.
* relative energy among the computed polymorphs: 1.264 eV/f.u.
* calculated volume: 235 Å³/cell
* calculated formation energy: -0.08 eV/atom
* calculated total energy: -8.43 eV/atom

Cell lengths 3.0752, 3.0752, 28.6731 Å; angles 90.00, 90.00, 120.00 degrees
Space group R3m (No. 160, hexagonal axes)
Unique sites:
Sc 0.0000 0.0000 0.0000 (multiplicity 3)
Sc 0.0000 0.0000 0.2318 (multiplicity 3)
Ta 0.0000 0.0000 0.7505 (multiplicity 3)
Ir 0.0000 0.0000 0.4902 (multiplicity 3)

Rb3Ni2As4: relaxed, PBE.

Results
* spin magnetization: 0.00 μB/f.u.
* calculated volume: 499 Å³/cell
* calculated formation energy: -0.35 eV/atom
* calculated total energy: -4.02 eV/atom

Cell lengths 13.238, 4.037, 9.587 Å; angles 90.00, 103.23, 90.00 degrees
Space group C2/m (No. 12)
Unique sites:
Rb 0.000 0.000 0.000 (multiplicity 2)
Rb 0.112 0.500 0.399 (multiplicity 4)
Ni 0.192 0.500 0.836 (multiplicity 4)
As 0.124 0.000 0.704 (multiplicity 4)
As 0.215 0.500 0.093 (multiplicity 4)

ZnHgH3: relaxed, PBE.

Results
* spin magnetization: 0.00 μB/f.u.
* relative energy among the computed polymorphs: 0.000 eV/f.u.
* calculated volume: 54 Å³/cell
* calculated total energy: -1.78 eV/atom

Cell lengths 3.782, 3.782, 3.782 Å; angles 90.00, 90.00, 90.00 degrees
Space group Pm-3m (No. 221)
Unique sites:
Zn 0.000 0.000 0.000 (multiplicity 1)
Hg 0.500 0.500 0.500 (multiplicity 1)
H 0.000 0.000 0.500 (multiplicity 3)

PaAlBi2O8: relaxed, PBE.

Results
* energy relative to the elements, uncorrected: -2060 meV/atom
* spin magnetization: 0.00 μB/f.u.
* calculated volume: 338 Å³/cell
* calculated total energy: -7.12 eV/atom

Cell lengths 7.051, 7.073, 6.782 Å; angles 90.00, 90.00, 90.00 degrees
Space group Cmmm (No. 65)
Unique sites:
Pa 0.000 0.000 0.000 (multiplicity 2)
Al 0.000 0.000 0.500 (multiplicity 2)
Bi 0.000 0.500 0.268 (multiplicity 4)
O 0.000 0.177 0.267 (multiplicity 8)
O 0.191 0.500 0.000 (multiplicity 4)
O 0.226 0.500 0.500 (multiplicity 4)

Na2BeAlTe4: relaxed, PBE.

Results
* energy relative to the elements, uncorrected: -499 meV/atom
* spin magnetization: 0.00 μB/f.u.
* calculated volume: 247 Å³/cell
* calculated total energy: -3.33 eV/atom

Cell lengths 6.938, 6.942, 6.946 Å; angles 95.92, 116.61, 116.59 degrees
Space group P1 (No. 1)
Unique sites:
Na 0.000 0.000 0.000 (multiplicity 1)
Na 0.499 0.250 0.750 (multiplicity 1)
Be 0.999 0.500 0.500 (multiplicity 1)
Al 0.499 0.750 0.250 (multiplicity 1)
Te 0.056 0.436 0.856 (multiplicity 1)
Te 0.420 0.621 0.565 (multiplicity 1)
Te 0.581 0.145 0.200 (multiplicity 1)
Te 0.944 0.800 0.380 (multiplicity 1)

Ta3SnI: relaxed, PBE.

Results
* energy relative to the elements, uncorrected: 1946 meV/atom
* spin magnetization: 0.00 μB/f.u.
* relative energy among the computed polymorphs: 0.000 eV/f.u.
* calculated volume: 125 Å³/cell
* calculated total energy: -6.28 eV/atom

Cell lengths 4.998, 4.998, 4.998 Å; angles 90.00, 90.00, 90.00 degrees
Space group Pm-3m (No. 221)
Unique sites:
Ta 0.000 0.000 0.500 (multiplicity 3)
Sn 0.500 0.500 0.500 (multiplicity 1)
I 0.000 0.000 0.000 (multiplicity 1)

LiInCo2N: relaxed, PBE.

Results
* energy relative to the elements, uncorrected: -159 meV/atom
* spin magnetization: 1.56 μB/f.u.
* calculated volume: 58 Å³/cell
* calculated total energy: -5.60 eV/atom

Cell lengths 3.782, 3.782, 4.058 Å; angles 90.00, 90.00, 90.00 degrees
Space group P4/mmm (No. 123)
Unique sites:
Li 0.000 0.000 0.000 (multiplicity 1)
In 0.500 0.500 0.000 (multiplicity 1)
Co 0.000 0.500 0.500 (multiplicity 2)
N 0.000 0.000 0.500 (multiplicity 1)

Ni10SnB3: relaxed, PBE.

Results
* spin magnetization: 0.00 μB/f.u.
* calculated volume: 1179 Å³/cell
* calculated formation energy: -0.26 eV/atom
* calculated total energy: -6.10 eV/atom

Cell lengths 10.563, 10.563, 10.563 Å; angles 90.00, 90.00, 90.00 degrees
Space group Fm-3m (No. 225)
Unique sites:
Ni 0.000 0.166 0.166 (multiplicity 48)
Ni 0.115 0.115 0.385 (multiplicity 32)
Sn 0.250 0.250 0.250 (multiplicity 8)
B 0.000 0.000 0.271 (multiplicity 24)

HfTa2CoN: relaxed, PBE.

Results
* energy relative to the elements, uncorrected: 1463 meV/atom
* spin magnetization: 0.00 μB/f.u.
* calculated volume: 97 Å³/cell
* calculated total energy: -8.35 eV/atom

Cell lengths 4.471, 4.471, 4.836 Å; angles 90.00, 90.00, 90.00 degrees
Space group P4/mmm (No. 123)
Unique sites:
Hf 0.000 0.000 0.000 (multiplicity 1)
Ta 0.000 0.500 0.500 (multiplicity 2)
Co 0.000 0.000 0.500 (multiplicity 1)
N 0.500 0.500 0.000 (multiplicity 1)

Pm2HoTl: relaxed, PBE.

Results
* spin magnetization: 0.00 μB/f.u.
* relative energy among the computed polymorphs: 0.064 eV/f.u.
* calculated volume: 237 Å³/cell
* calculated formation energy: -0.18 eV/atom
* calculated total energy: -4.29 eV/atom

Cell lengths 4.807, 4.825, 10.239 Å; angles 90.00, 90.00, 90.00 degrees
Space group Immm (No. 71)
Unique sites:
Pm 0.000 0.000 0.248 (multiplicity 4)
Ho 0.000 0.500 0.000 (multiplicity 2)
Tl 0.000 0.500 0.500 (multiplicity 2)